1.
# Pt2PbSe2 | Alexandria | PBE | relaxed
data_Pt2PbSe2
_symmetry_space_group_name_H-M 'P 1'
_symmetry_Int_Tables_number 1
_cell_length_a 4.322
_cell_length_b 4.322
_cell_length_c 6.588
_cell_angle_alpha 70.85
_cell_angle_beta 70.85
_cell_angle_gamma 90.00
loop_
_symmetry_equiv_pos_as_xyz
'x,y,z'
loop_
_atom_site_label
_atom_site_fract_x
_atom_site_fract_y
_atom_site_fract_z
Pt1 0.750 0.250 0.500
Se1 0.628 0.628 0.743
Se2 0.372 0.372 0.257
Pb1 0.000 0.000 0.000
Pt2 0.250 0.750 0.500
# **D(E_F)**: 3.12 states/eV/f.u.
# **E_form (uncorrected)**: 0.041 eV per atom
# **Offset from the most stable computed form**: 0.098 eV per atom
# **Calculated density**: 11.506 g cm⁻³

---

2.
# Nd2Tm3Cd3 | Alexandria | PBE | relaxed
data_Nd2Tm3Cd3
_symmetry_space_group_name_H-M 'P 1'
_symmetry_Int_Tables_number 1
_cell_length_a 3.769
_cell_length_b 5.281
_cell_length_c 11.653
_cell_angle_alpha 103.10
_cell_angle_beta 99.31
_cell_angle_gamma 90.00
loop_
_symmetry_equiv_pos_as_xyz
'x,y,z'
loop_
_atom_site_label
_atom_site_fract_x
_atom_site_fract_y
_atom_site_fract_z
Cd1 0.000 0.500 0.000
Tm1 0.500 0.000 0.000
Cd2 0.112 0.112 0.224
Cd3 0.888 0.888 0.776
Nd1 0.731 0.231 0.462
Nd2 0.269 0.769 0.538
Tm2 0.620 0.620 0.239
Tm3 0.380 0.380 0.761
# **D(E_F)**: 6.84 states/eV/f.u.
# **Calculated density**: 8.443 g cm⁻³
# **ΔE_f**: -0.213 eV per atom

---

3.
# Ta2AgPt | Alexandria | PBE | relaxed
data_Ta2AgPt
_symmetry_space_group_name_H-M 'P 1'
_symmetry_Int_Tables_number 1
_cell_length_a 4.614
_cell_length_b 4.614
_cell_length_c 4.614
_cell_angle_alpha 60.00
_cell_angle_beta 60.00
_cell_angle_gamma 60.00
loop_
_symmetry_equiv_pos_as_xyz
'x,y,z'
loop_
_atom_site_label
_atom_site_fract_x
_atom_site_fract_y
_atom_site_fract_z
Pt1 0.250 0.250 0.250
Ta1 0.000 0.000 0.000
Ta2 0.750 0.750 0.750
Ag1 0.500 0.500 0.500
# **D(E_F)**: 5.47 states/eV/f.u.
# **Calculated density**: 15.898 g cm⁻³
# **ΔE_f**: 0.158 eV per atom

---

4.
# TaIn4Re | Alexandria | PBE | relaxed
data_TaIn4Re
_symmetry_space_group_name_H-M 'P 1'
_symmetry_Int_Tables_number 1
_cell_length_a 5.606
_cell_length_b 5.606
_cell_length_c 5.606
_cell_angle_alpha 60.00
_cell_angle_beta 60.00
_cell_angle_gamma 60.00
loop_
_symmetry_equiv_pos_as_xyz
'x,y,z'
loop_
_atom_site_label
_atom_site_fract_x
_atom_site_fract_y
_atom_site_fract_z
In1 0.375 0.875 0.375
In2 0.375 0.375 0.875
In3 0.875 0.375 0.375
In4 0.375 0.375 0.375
Ta1 0.000 0.000 0.000
Re1 0.750 0.750 0.750
# **D(E_F)**: 5.27 states/eV/f.u.
# **Calculated density**: 11.017 g cm⁻³
# **ΔE_f**: 1.106 eV per atom

---

5.
# RbTlCdBi2 | Alexandria | PBE | relaxed
data_RbTlCdBi2
_symmetry_space_group_name_H-M 'P 1'
_symmetry_Int_Tables_number 1
_cell_length_a 5.234
_cell_length_b 5.234
_cell_length_c 7.745
_cell_angle_alpha 109.75
_cell_angle_beta 109.75
_cell_angle_gamma 90.00
loop_
_symmetry_equiv_pos_as_xyz
'x,y,z'
loop_
_atom_site_label
_atom_site_fract_x
_atom_site_fract_y
_atom_site_fract_z
Bi1 0.379 0.379 0.757
Cd1 0.250 0.750 0.500
Bi2 0.621 0.621 0.243
Rb1 0.000 0.000 0.000
Tl1 0.750 0.250 0.500
# **D(E_F)**: 2.01 states/eV/f.u.
# **Calculated density**: 7.307 g cm⁻³
# **ΔE_f**: -0.164 eV per atom

---

6.
# RbBO2 | Alexandria | PBE | relaxed
data_RbBO2
_symmetry_space_group_name_H-M 'P 1'
_symmetry_Int_Tables_number 1
_cell_length_a 4.730
_cell_length_b 6.990
_cell_length_c 9.358
_cell_angle_alpha 90.00
_cell_angle_beta 90.00
_cell_angle_gamma 109.78
loop_
_symmetry_equiv_pos_as_xyz
'x,y,z'
loop_
_atom_site_label
_atom_site_fract_x
_atom_site_fract_y
_atom_site_fract_z
Rb1 0.859 0.718 0.439
O1 0.775 0.050 0.250
Rb2 0.641 0.282 0.939
Rb3 0.141 0.282 0.561
B1 0.425 0.850 0.700
Rb4 0.359 0.718 0.061
B2 0.075 0.150 0.200
O2 0.725 0.950 0.750
O3 0.225 0.950 0.750
O4 0.152 0.305 0.110
B3 0.575 0.150 0.300
O5 0.275 0.050 0.250
O6 0.652 0.305 0.390
B4 0.925 0.850 0.800
O7 0.848 0.695 0.890
O8 0.348 0.695 0.610
# **D(E_F)**: 0.00 states/eV/f.u.
# **E_form (uncorrected)**: -2.213 eV per atom
# **Calculated density**: 2.927 g cm⁻³